[1]
Pm6Dy3In PBE optimized geometry; energy above the most stable polymorph in this dataset = 0 meV/atom; symmetry = P2_1/m; crystal system = monoclinic
1.0
-1.5913 3.1465 0.3196
-11.3954 -5.4859 -2.7280
0.2301 -1.3453 14.3915
Pm Dy In
12 6 2
Direct
0.7500 0.4897 0.6913
0.2500 0.5103 0.3087
0.7500 0.8119 0.0758
0.2500 0.1881 0.9242
0.7500 0.3414 0.1156
0.2500 0.6586 0.8844
0.7500 0.7530 0.3038
0.2500 0.2470 0.6962
0.7500 0.1113 0.4638
0.2500 0.8887 0.5362
0.7500 0.7690 0.7138
0.2500 0.2310 0.2862
0.7500 0.4207 0.9030
0.2500 0.5793 0.0970
0.7500 0.6298 0.5010
0.2500 0.3702 0.4990
0.7500 0.0717 0.1064
0.2500 0.9283 0.8936
0.7500 0.0318 0.7281
0.2500 0.9682 0.2719

=====

[2]
Pm3Dy6In PBE optimized geometry; symmetry = P2_1/m; DFT total energy = -4.49 eV per atom; crystal system = monoclinic
1.0
3.5593 0.0000 0.0000
0.0000 12.8238 -1.8931
0.0000 -6.2088 14.8437
Pm Dy In
6 12 2
Direct
0.7500 0.3867 0.8961
0.2500 0.6133 0.1039
0.7500 0.6220 0.4991
0.2500 0.3780 0.5009
0.7500 0.1256 0.0918
0.2500 0.8744 0.9082
0.7500 0.5945 0.7104
0.2500 0.4055 0.2896
0.7500 0.8593 0.1094
0.2500 0.1407 0.8906
0.7500 0.3815 0.0990
0.2500 0.6185 0.9010
0.7500 0.6675 0.3101
0.2500 0.3325 0.6899
0.7500 0.1120 0.4768
0.2500 0.8880 0.5232
0.7500 0.8842 0.7174
0.2500 0.1158 0.2826
0.7500 0.1169 0.6943
0.2500 0.8831 0.3057

=====

[3]
Pm7Dy3In PBE optimized geometry; symmetry = P3m1; DFT total energy = -4.42 eV per atom; crystal system = trigonal
1.0
-4.9995 -2.8167 6.4053
1.8856 -6.6599 -1.4570
3.7663 3.8127 4.6164
Pm Dy In
7 3 1
Direct
0.1190 0.1688 0.8312
0.1190 0.1688 0.3376
0.1103 0.6667 0.3333
0.4495 0.8309 0.1691
0.4495 0.3382 0.1691
0.4495 0.8309 0.6618
0.1190 0.6624 0.8312
0.7806 0.5002 0.4998
0.7806 0.5002 0.0003
0.7806 0.9997 0.4998
0.4577 0.3333 0.6667